# 1
Compound: FeSe
Source: the Alexandria database
Functional: PBE-GGA
Structure: optimized geometry

a b c (Å): 6.686 6.488 5.325
angles (deg): 68.12 64.23 47.65
Sites, in units of the cell vectors:
Fe  0.005  0.005  0.245
Fe  0.245  0.245  0.005
Fe  0.755  0.755  0.995
Fe  0.995  0.995  0.755
Se  0.114  0.636  0.114
Se  0.364  0.886  0.364
Se  0.636  0.114  0.636
Se  0.886  0.364  0.886

## Properties
space group = No. 70
magnetic moment = 0.00 μB/f.u.
calculated density = 5.867 g/cm³
formation energy without anion corrections = -0.0876 eV per atom

---

# 2
Compound: YEr5Sn6
Source: the Alexandria database
Functional: PBE-GGA
Structure: optimized geometry

a b c (Å): 7.524 7.524 8.473
angles (deg): 94.54 94.54 135.76
Sites, in units of the cell vectors:
Y  0.000  0.000  0.000
Er  0.000  0.000  0.500
Er  0.332  0.668  0.000
Er  0.335  0.665  0.500
Er  0.665  0.335  0.500
Er  0.668  0.332  0.000
Sn  0.166  0.831  0.252
Sn  0.169  0.834  0.748
Sn  0.494  0.494  0.751
Sn  0.506  0.506  0.249
Sn  0.831  0.166  0.252
Sn  0.834  0.169  0.748

## Properties
space group = No. 12
magnetic moment = 0.00 μB/f.u.
calculated density = 8.311 g/cm³
formation enthalpy at 0 K = -0.61 eV per atom

---

# 3
Compound: BeSbTeO6
Source: the Alexandria database
Functional: PBE-GGA
Structure: optimized geometry

a b c (Å): 4.959 4.959 9.263
angles (deg): 90.00 90.00 120.00
Sites, in units of the cell vectors:
Be  0.333  0.667  0.250
Be  0.667  0.333  0.750
Sb  0.000  0.000  0.000
Sb  0.000  0.000  0.500
Te  0.333  0.667  0.750
Te  0.667  0.333  0.250
O  0.013  0.363  0.137
O  0.013  0.650  0.363
O  0.350  0.363  0.363
O  0.350  0.987  0.137
O  0.363  0.013  0.637
O  0.363  0.350  0.863
O  0.637  0.650  0.137
O  0.637  0.987  0.363
O  0.650  0.013  0.863
O  0.650  0.637  0.637
O  0.987  0.350  0.637
O  0.987  0.637  0.863

## Properties
space group = No. 163
magnetic moment = 0.00 μB/f.u.
calculated density = 5.966 g/cm³
formation energy without anion corrections = -1.2985 eV per atom

---

# 4
Compound: NaNdHg4
Source: the Alexandria database
Functional: PBE-GGA
Structure: optimized geometry

a b c (Å): 6.028 6.028 6.028
angles (deg): 60.00 60.00 60.00
Sites, in units of the cell vectors:
Na  0.000  0.000  0.000
Nd  0.250  0.250  0.250
Hg  0.125  0.625  0.625
Hg  0.625  0.125  0.625
Hg  0.625  0.625  0.125
Hg  0.625  0.625  0.625

## Properties
space group = No. 216
magnetic moment = 0.00 μB/f.u.
calculated density = 10.397 g/cm³
formation enthalpy at 0 K = -0.17 eV per atom
distance to the lowest polymorph of the same formula = 0.142 eV/atom

---

# 5
Compound: LiY4S5
Source: the Alexandria database
Functional: PBE-GGA
Structure: optimized geometry

a b c (Å): 6.745 6.745 6.745
angles (deg): 99.56 99.56 131.91
Sites, in units of the cell vectors:
Li  0.000  0.000  0.000
Y  0.199  0.599  0.802
Y  0.397  0.199  0.600
Y  0.599  0.797  0.400
Y  0.797  0.397  0.198
S  0.094  0.291  0.389
S  0.291  0.902  0.197
S  0.498  0.498  0.000
S  0.705  0.094  0.803
S  0.902  0.705  0.611

## Properties
space group = No. 79
magnetic moment = 0.00 μB/f.u.
calculated density = 4.164 g/cm³
formation energy without anion corrections = -1.9573 eV per atom

---

# 6
Compound: NaAl3P
Source: the Alexandria database
Functional: PBE-GGA
Structure: optimized geometry

a b c (Å): 5.070 5.070 5.070
angles (deg): 90.00 90.00 90.00
Sites, in units of the cell vectors:
Na  0.000  0.000  0.000
Al  0.000  0.000  0.500
Al  0.000  0.500  0.000
Al  0.500  0.000  0.000
P  0.500  0.500  0.500

## Properties
space group = No. 221
magnetic moment = 0.00 μB/f.u.
calculated density = 1.719 g/cm³
formation enthalpy at 0 K = 1.33 eV per atom
distance to the lowest polymorph of the same formula = 0.946 eV/atom